InSiSe2, relaxed, DFT PBE-GGA; electronic total energy = -3.86 eV/atom; N(E_F) = 0.860 states/eV/atom; formation energy from raw total energies = -0.08 eV per atom
1.0
-6.636 -2.860 -0.994
2.605 -6.614 1.636
-2.928 -4.067 4.482
In Se Si
2 4 2
direct
0.000 0.000 0.000 In
0.750 0.250 0.500 In
0.202 0.625 0.250 Se
0.375 0.452 0.750 Se
0.875 0.798 0.750 Se
0.548 0.125 0.250 Se
0.250 0.750 0.500 Si
0.500 0.500 0.000 Si

=====

Ac2AlIr, relaxed, DFT PBE-GGA; electronic total energy = -5.53 eV/atom; N(E_F) = 0.697 states/eV/atom
1.0
-1.217 1.042 -3.511
-3.606 -0.990 0.956
-1.262 7.032 2.525
Ac Al Ir
2 1 1
direct
0.000 0.000 0.772 Ac
0.000 0.000 0.228 Ac
0.500 0.500 0.500 Al
0.500 0.500 0.000 Ir

=====

YTeH2, relaxed, DFT PBE-GGA; electronic total energy = -4.20 eV/atom; N(E_F) = 0.730 states/eV/atom
1.0
0.000 3.149 3.149
3.149 0.000 3.149
3.149 3.149 0.000
Y H Te
1 2 1
direct
0.000 0.000 0.000 Y
0.250 0.250 0.250 H
0.750 0.750 0.750 H
0.500 0.500 0.500 Te